1.
## AsRuBr (GGA-PBE)

Data for an optimized crystal structure of AsRuBr.

Output
* relative energy among the computed polymorphs: 1.1034 eV per atom
* symmetry: F-43m
* formation energy (no corrections): 1.0419 eV per atom
* volume: 21.04 Å³/atom
* Fermi-level density of states: 2.5 states/eV/cell
* VASP energy: -12.47 eV/cell
* magnetic moment: 0.8 μB/f.u.

Cell and atoms, written as extended XYZ:
```
3
Lattice="4.469 0.000 0.000 2.235 3.870 0.000 2.235 1.290 3.649" Properties=species:S:1:pos:R:3 pbc="T T T"
Ru 4.469 2.580 1.824
Br 0.000 0.000 0.000
As 2.235 1.290 0.912
```

2.
## Pm3DyY2 (GGA-PBE)

Data for an optimized crystal structure of Pm3DyY2.

Output
* symmetry: C2/c
* volume: 33.27 Å³/atom
* Fermi-level density of states: 15.8 states/eV/cell
* VASP energy: -63.53 eV/cell
* energy relative to the elements: 3 meV/atom
* magnetic moment: 0.0 μB/f.u.

Cell and atoms, written as extended XYZ:
```
12
Lattice="7.266 0.000 0.000 0.000 6.297 -0.187 -3.633 -1.837 8.780" Properties=species:S:1:pos:R:3 pbc="T T T"
Y 0.901 4.887 5.678
Y -0.901 1.738 5.771
Y 2.732 -0.426 2.915
Y 4.534 2.722 2.821
Pm 0.910 2.694 2.829
Pm 4.543 4.914 5.670
Pm 2.723 1.766 5.764
Pm -0.910 -0.454 2.923
Pm 0.922 4.723 -0.140
Pm 6.344 1.574 -0.047
Dy 4.531 4.723 -0.140
Dy 2.736 1.574 -0.047
```

3.
## NdEr3H8 (GGA-PBE)

Data for an optimized crystal structure of NdEr3H8.

Output
* symmetry: Pm-3m
* volume: 11.68 Å³/atom
* Fermi-level density of states: 2.0 states/eV/cell
* VASP energy: -53.66 eV/cell
* magnetic moment: 0.0 μB/f.u.

Cell and atoms, written as extended XYZ:
```
12
Lattice="-2.046 -1.284 -4.599 4.701 -1.417 -1.696 -0.836 -4.830 1.720" Properties=species:S:1:pos:R:3 pbc="T T T"
H 0.472 -1.953 -1.186
H -0.916 -4.896 -2.573
H 1.750 -3.253 -4.217
H -0.513 -2.571 -3.400
H 0.069 -4.278 -0.358
H 1.348 -5.578 -3.389
H 2.333 -4.960 -1.175
H 2.735 -2.635 -2.003
Er -1.441 -3.057 -1.440
Er 1.933 -3.124 0.012
Er 1.328 -1.350 -3.148
Nd 0.000 0.000 0.000
```

4.
## PrHo2Er2 (GGA-PBE)

Data for an optimized crystal structure of PrHo2Er2.

Output
* relative energy among the computed polymorphs: 0.0000 eV per atom
* symmetry: P4/mbm
* volume: 32.49 Å³/atom
* Fermi-level density of states: 11.0 states/eV/cell
* VASP energy: -45.30 eV/cell
* energy relative to the elements: 82 meV/atom
* magnetic moment: 0.0 μB/f.u.

Cell and atoms, written as extended XYZ:
```
10
Lattice="-4.400 -6.065 5.644 6.495 1.442 6.613 -2.024 2.759 1.386" Properties=species:S:1:pos:R:3 pbc="T T T"
Er 2.923 0.583 8.022
Er -0.293 -2.675 9.810
Er 0.363 0.811 3.833
Er -2.852 -2.447 5.621
Ho 2.940 -2.524 9.315
Ho -0.845 -2.099 2.942
Ho -1.413 -4.769 7.426
Ho 3.508 0.146 4.831
Pr 0.000 0.000 0.000
Pr 1.047 -2.311 6.129
```

5.
## Tb2ZrSc4 (GGA-PBE)

Data for an optimized crystal structure of Tb2ZrSc4.

Output
* relative energy among the computed polymorphs: 0.5220 eV per atom
* symmetry: I4/mmm
* volume: 29.76 Å³/atom
* Fermi-level density of states: 9.4 states/eV/cell
* VASP energy: -39.23 eV/cell
* energy relative to the elements: 557 meV/atom
* magnetic moment: 0.0 μB/f.u.

Cell and atoms, written as extended XYZ:
```
7
Lattice="5.039 0.000 0.000 0.000 5.039 0.000 -2.519 -2.519 8.205" Properties=species:S:1:pos:R:3 pbc="T T T"
Tb 0.000 0.000 6.084
Tb 2.519 2.519 2.120
Sc 2.519 0.000 0.000
Sc 0.000 2.519 0.000
Sc 0.000 0.000 2.825
Sc 2.519 2.519 5.380
Zr 0.000 0.000 0.000
```

6.
## Ag2AuSe (GGA-PBE)

Data for an optimized crystal structure of Ag2AuSe.

Output
* symmetry: I4/mmm
* formation energy (no corrections): 0.0997 eV per atom
* volume: 18.90 Å³/atom
* Fermi-level density of states: 2.0 states/eV/cell
* VASP energy: -12.07 eV/cell
* magnetic moment: 0.0 μB/f.u.

Cell and atoms, written as extended XYZ:
```
4
Lattice="-4.489 2.356 0.924 -0.738 0.207 5.096 4.027 1.368 -2.911" Properties=species:S:1:pos:R:3 pbc="T T T"
Ag -0.001 0.000 0.001
Ag -2.613 1.281 3.009
Au -1.538 2.503 0.512
Se 0.338 1.428 2.598
```